Entry 1:
DFT (PBE) results for a geometry-optimized Tl12Te3As5 structure.

Values from the calculation:
Raw total energy (eV per atom): -2.99

Cell and atoms, written as CIF:
```
data_Tl12Te3As5
_chemical_formula_sum 'Tl96 Te24 As40'
_symmetry_space_group_name_H-M 'I a -3 d'
_symmetry_Int_Tables_number 230
_symmetry_space_group_name_Hall '-I 4bd 2c 3'
_cell_length_a 17.971
_cell_length_b 17.971
_cell_length_c 17.971
_cell_angle_alpha 90.00
_cell_angle_beta 90.00
_cell_angle_gamma 90.00
loop_
_atom_site_label
_atom_site_type_symbol
_atom_site_fract_x
_atom_site_fract_y
_atom_site_fract_z
_atom_site_occupancy
Tl1 Tl 0.020 0.062 0.651 1
Te1 Te 0.000 0.250 0.125 1
As1 As 0.000 0.000 0.000 1
As2 As 0.000 0.250 0.375 1
```

---

Entry 2:
DFT (PBE) results for a geometry-optimized TlTeAs structure.

Values from the calculation:
Distance to the lowest polymorph of the same formula (kJ/mol of atoms): 10.2

Cell and atoms, written as CIF:
```
data_TlTeAs
_chemical_formula_sum 'Tl2 Te2 As2'
_symmetry_space_group_name_H-M 'I m m 2'
_symmetry_Int_Tables_number 44
_cell_length_a 3.125
_cell_length_b 5.824
_cell_length_c 10.781
_cell_angle_alpha 90.00
_cell_angle_beta 90.00
_cell_angle_gamma 90.00
loop_
_symmetry_equiv_pos_as_xyz
'x,y,z'
'-x,-y,z'
'-x,y,z'
'x,-y,z'
'x+1/2,y+1/2,z+1/2'
'-x+1/2,-y+1/2,z+1/2'
'-x+1/2,y+1/2,z+1/2'
'x+1/2,-y+1/2,z+1/2'
loop_
_atom_site_label
_atom_site_type_symbol
_atom_site_fract_x
_atom_site_fract_y
_atom_site_fract_z
_atom_site_occupancy
Tl1 Tl 0.000 0.000 0.000 1
Te1 Te 0.000 0.000 0.353 1
As1 As 0.000 0.000 0.594 1
```

---

Entry 3:
DFT (PBE) results for a geometry-optimized TlTe4As2 structure.

Values from the calculation:
Raw total energy (eV per atom): -3.46

Cell and atoms, written as CIF:
```
data_TlTe4As2
_chemical_formula_sum 'Tl4 Te16 As8'
_symmetry_space_group_name_H-M 'C m c m'
_symmetry_Int_Tables_number 63
_symmetry_space_group_name_Hall '-C 2c 2'
_cell_length_a 4.015
_cell_length_b 14.005
_cell_length_c 15.255
_cell_angle_alpha 90.00
_cell_angle_beta 90.00
_cell_angle_gamma 90.00
loop_
_atom_site_label
_atom_site_type_symbol
_atom_site_fract_x
_atom_site_fract_y
_atom_site_fract_z
_atom_site_occupancy
Tl1 Tl 0.000 0.083 0.250 1
Te1 Te 0.000 0.000 0.000 1
Te2 Te 0.000 0.276 0.610 1
Te3 Te 0.000 0.408 0.250 1
As1 As 0.000 0.357 0.059 1
```

---

Entry 4:
DFT (PBE) results for a geometry-optimized TlTe3As structure.

Values from the calculation:
Distance to the lowest polymorph of the same formula (kJ/mol of atoms): 0.0

Cell and atoms, written as CIF:
```
data_TlTe3As
_chemical_formula_sum 'Tl4 Te12 As4'
_symmetry_space_group_name_H-M 'P n m a'
_symmetry_Int_Tables_number 62
_cell_length_a 6.535
_cell_length_b 9.896
_cell_length_c 9.642
_cell_angle_alpha 90.00
_cell_angle_beta 90.00
_cell_angle_gamma 90.00
loop_
_symmetry_equiv_pos_as_xyz
'x,y,z'
'-x,-y,-z'
'-x+1/2,-y,z+1/2'
'x+1/2,y,-z+1/2'
'x+1/2,-y+1/2,-z+1/2'
'-x+1/2,y+1/2,z+1/2'
'-x,y+1/2,-z'
'x,-y+1/2,z'
loop_
_atom_site_label
_atom_site_type_symbol
_atom_site_fract_x
_atom_site_fract_y
_atom_site_fract_z
_atom_site_occupancy
Tl1 Tl 0.106 0.250 0.006 1
Te1 Te 0.130 0.250 0.365 1
Te2 Te 0.194 0.548 0.228 1
As1 As 0.000 0.000 0.500 1
```

---

Entry 5:
DFT (PBE) results for a geometry-optimized TlTeAs3 structure.

Values from the calculation:
Distance to the lowest polymorph of the same formula (kJ/mol of atoms): 0.0

Cell and atoms, written as CIF:
```
data_TlTeAs3
_chemical_formula_sum 'Tl1 Te1 As3'
_symmetry_space_group_name_H-M 'P m -3 m'
_symmetry_Int_Tables_number 221
_symmetry_space_group_name_Hall '-P 4 2 3'
_cell_length_a 5.404
_cell_length_b 5.404
_cell_length_c 5.404
_cell_angle_alpha 90.00
_cell_angle_beta 90.00
_cell_angle_gamma 90.00
loop_
_atom_site_label
_atom_site_type_symbol
_atom_site_fract_x
_atom_site_fract_y
_atom_site_fract_z
_atom_site_occupancy
Tl1 Tl 0.000 0.000 0.000 1
Te1 Te 0.500 0.500 0.500 1
As1 As 0.000 0.500 0.500 1
```

---

Entry 6:
DFT (PBE) results for a geometry-optimized TlTeAs structure.

Values from the calculation:
Distance to the lowest polymorph of the same formula (kJ/mol of atoms): 9.3

Cell and atoms, written as CIF:
```
data_TlTeAs
_chemical_formula_sum 'Tl1 Te1 As1'
_symmetry_space_group_name_H-M 'P 3 m 1'
_symmetry_Int_Tables_number 156
_cell_length_a 3.7788
_cell_length_b 3.7788
_cell_length_c 6.9624
_cell_angle_alpha 90.00
_cell_angle_beta 90.00
_cell_angle_gamma 120.00
loop_
_symmetry_equiv_pos_as_xyz
'x,y,z'
'-y,x-y,z'
'-x+y,-x,z'
'-y,-x,z'
'-x+y,y,z'
'x,x-y,z'
loop_
_atom_site_label
_atom_site_type_symbol
_atom_site_fract_x
_atom_site_fract_y
_atom_site_fract_z
_atom_site_occupancy
Tl1 Tl 0.0000 0.0000 0.0000 1
Te1 Te 0.3333 0.6667 0.5991 1
As1 As 0.6667 0.3333 0.3428 1
```

---

Entry 7:
DFT (PBE) results for a geometry-optimized Tl8Te2As structure.

Values from the calculation:
Raw total energy (eV per atom): -2.85

Cell and atoms, written as CIF:
```
data_Tl8Te2As
_chemical_formula_sum 'Tl16 Te4 As2'
_symmetry_space_group_name_H-M 'C 1 2/m 1'
_symmetry_Int_Tables_number 12
_cell_length_a 21.794
_cell_length_b 4.582
_cell_length_c 7.529
_cell_angle_alpha 90.00
_cell_angle_beta 93.24
_cell_angle_gamma 90.00
loop_
_symmetry_equiv_pos_as_xyz
'x,y,z'
'-x,-y,-z'
'-x,y,-z'
'x,-y,z'
'x+1/2,y+1/2,z'
'-x+1/2,-y+1/2,-z'
'-x+1/2,y+1/2,-z'
'x+1/2,-y+1/2,z'
loop_
_atom_site_label
_atom_site_type_symbol
_atom_site_fract_x
_atom_site_fract_y
_atom_site_fract_z
_atom_site_occupancy
Tl1 Tl 0.008 0.000 0.256 1
Tl2 Tl 0.095 0.500 0.526 1
Tl3 Tl 0.135 0.500 0.992 1
Tl4 Tl 0.220 0.000 0.738 1
Te1 Te 0.172 0.000 0.307 1
As1 As 0.000 0.500 0.000 1
```

---

Entry 8:
DFT (PBE) results for a geometry-optimized Tl7Te6As structure.

Values from the calculation:
Raw total energy (eV per atom): -3.02

Cell and atoms, written as CIF:
```
data_Tl7Te6As
_chemical_formula_sum 'Tl28 Te24 As4'
_symmetry_space_group_name_H-M 'I b a m'
_symmetry_Int_Tables_number 72
_symmetry_space_group_name_Hall '-I 2 2c'
_cell_length_a 8.164
_cell_length_b 15.539
_cell_length_c 18.290
_cell_angle_alpha 90.00
_cell_angle_beta 90.00
_cell_angle_gamma 90.00
loop_
_atom_site_label
_atom_site_type_symbol
_atom_site_fract_x
_atom_site_fract_y
_atom_site_fract_z
_atom_site_occupancy
Tl1 Tl 0.000 0.000 0.250 1
Tl2 Tl 0.100 0.271 0.117 1
Tl3 Tl 0.230 0.048 0.000 1
Te1 Te 0.127 0.157 0.500 1
Te2 Te 0.199 0.388 0.321 1
As1 As 0.000 0.500 0.250 1
```

---

Entry 9:
DFT (PBE) results for a geometry-optimized TlTeAs structure.

Values from the calculation:
Distance to the lowest polymorph of the same formula (kJ/mol of atoms): 0.0

Cell and atoms, written as CIF:
```
data_TlTeAs
_chemical_formula_sum 'Tl2 Te2 As2'
_symmetry_space_group_name_H-M 'I 4 m m'
_symmetry_Int_Tables_number 107
_symmetry_space_group_name_Hall 'I 4 -2'
_cell_length_a 3.913
_cell_length_b 3.913
_cell_length_c 11.934
_cell_angle_alpha 90.00
_cell_angle_beta 90.00
_cell_angle_gamma 90.00
loop_
_atom_site_label
_atom_site_type_symbol
_atom_site_fract_x
_atom_site_fract_y
_atom_site_fract_z
_atom_site_occupancy
Tl1 Tl 0.000 0.000 0.000 1
Te1 Te 0.000 0.000 0.719 1
As1 As 0.000 0.000 0.293 1
```

---

Entry 10:
DFT (PBE) results for a geometry-optimized Tl3Te3As structure.

Values from the calculation:
Raw total energy (eV per atom): -3.18

Cell and atoms, written as CIF:
```
data_Tl3Te3As
_chemical_formula_sum 'Tl12 Te12 As4'
_symmetry_space_group_name_H-M 'C 1 2/m 1'
_symmetry_Int_Tables_number 12
_cell_length_a 9.273
_cell_length_b 13.856
_cell_length_c 8.538
_cell_angle_alpha 90.00
_cell_angle_beta 92.94
_cell_angle_gamma 90.00
loop_
_symmetry_equiv_pos_as_xyz
'x,y,z'
'-x,-y,-z'
'-x,y,-z'
'x,-y,z'
'x+1/2,y+1/2,z'
'-x+1/2,-y+1/2,-z'
'-x+1/2,y+1/2,-z'
'x+1/2,-y+1/2,z'
loop_
_atom_site_label
_atom_site_type_symbol
_atom_site_fract_x
_atom_site_fract_y
_atom_site_fract_z
_atom_site_occupancy
Tl1 Tl 0.000 0.166 0.000 1
Tl2 Tl 0.000 0.222 0.500 1
Tl3 Tl 0.122 0.500 0.857 1
Te1 Te 0.057 0.000 0.284 1
Te2 Te 0.170 0.348 0.199 1
As1 As 0.221 0.000 0.642 1
```

---

Entry 11:
DFT (PBE) results for a geometry-optimized Tl3Te4As2 structure.

Values from the calculation:
Distance to the lowest polymorph of the same formula (kJ/mol of atoms): 3.2

Cell and atoms, written as CIF:
```
data_Tl3Te4As2
_chemical_formula_sum 'Tl12 Te16 As8'
_symmetry_space_group_name_H-M 'C 1 2/c 1'
_symmetry_Int_Tables_number 15
_cell_length_a 14.609
_cell_length_b 12.910
_cell_length_c 6.811
_cell_angle_alpha 90.00
_cell_angle_beta 97.15
_cell_angle_gamma 90.00
loop_
_symmetry_equiv_pos_as_xyz
'x,y,z'
'-x,-y,-z'
'-x,y,-z+1/2'
'x,-y,z+1/2'
'x+1/2,y+1/2,z'
'-x+1/2,-y+1/2,-z'
'-x+1/2,y+1/2,-z+1/2'
'x+1/2,-y+1/2,z+1/2'
loop_
_atom_site_label
_atom_site_type_symbol
_atom_site_fract_x
_atom_site_fract_y
_atom_site_fract_z
_atom_site_occupancy
Tl1 Tl 0.000 0.059 0.250 1
Tl2 Tl 0.104 0.366 0.988 1
Te1 Te 0.143 0.353 0.495 1
Te2 Te 0.163 0.121 0.946 1
As1 As 0.167 0.150 0.565 1
```

---

Entry 12:
DFT (PBE) results for a geometry-optimized Tl8TeAs2 structure.

Values from the calculation:
Raw total energy (eV per atom): -2.90

Cell and atoms, written as CIF:
```
data_Tl8TeAs2
_chemical_formula_sum 'Tl16 Te2 As4'
_symmetry_space_group_name_H-M 'C 1 2/m 1'
_symmetry_Int_Tables_number 12
_cell_length_a 18.478
_cell_length_b 4.551
_cell_length_c 8.504
_cell_angle_alpha 90.00
_cell_angle_beta 97.55
_cell_angle_gamma 90.00
loop_
_symmetry_equiv_pos_as_xyz
'x,y,z'
'-x,-y,-z'
'-x,y,-z'
'x,-y,z'
'x+1/2,y+1/2,z'
'-x+1/2,-y+1/2,-z'
'-x+1/2,y+1/2,-z'
'x+1/2,-y+1/2,z'
loop_
_atom_site_label
_atom_site_type_symbol
_atom_site_fract_x
_atom_site_fract_y
_atom_site_fract_z
_atom_site_occupancy
Tl1 Tl 0.007 0.000 0.234 1
Tl2 Tl 0.105 0.500 0.019 1
Tl3 Tl 0.174 0.500 0.467 1
Tl4 Tl 0.197 0.000 0.815 1
Te1 Te 0.000 0.500 0.500 1
As1 As 0.189 0.000 0.199 1
```